[1]
Material: VTcPtRh
Method: DFT, PBE
State: relaxed

Unit cell a=3.806 b=3.809 c=3.935 alpha=90.00 beta=90.00 gamma=90.00
Sites, in units of the cell vectors:
V 0.000 0.000 0.000
Tc 0.500 0.500 0.000
Pt 0.500 0.000 0.500
Rh 0.000 0.500 0.500

Calculated values
Formation enthalpy at 0 K   -1.45 eV per formula unit
Magnetization   0.002 μB/cell
Space-group type   No. 47
Calculated volume   57.0 Å³ per cell
Crystal system   orthorhombic
Energy   -8.5819 eV/atom

---

[2]
Material: Pr4TePS2
Method: DFT, PBE
State: relaxed

Unit cell a=7.279 b=4.205 c=7.483 alpha=90.00 beta=108.99 gamma=90.00
Sites, in units of the cell vectors:
Pr 0.229 0.000 0.219
Pr 0.247 0.500 0.770
Pr 0.753 0.500 0.230
Pr 0.771 0.000 0.781
Te 0.500 0.500 0.500
P 0.500 0.000 0.000
S 0.000 0.000 0.500
S 0.000 0.500 0.000

Calculated values
Magnetization   0.000 μB/cell
Raw formation energy   -1760 meV/atom
Space-group type   No. 10
Calculated volume   216.6 Å³ per cell
Crystal system   monoclinic
Energy   -6.2503 eV/atom

---

[3]
Material: BaAg4As3
Method: DFT, PBE
State: relaxed

Unit cell a=4.619 b=4.619 c=8.568 alpha=90.00 beta=90.00 gamma=90.00
Sites, in units of the cell vectors:
Ba 0.000 0.000 0.000
Ag 0.000 0.500 0.326
Ag 0.000 0.500 0.674
Ag 0.500 0.000 0.326
Ag 0.500 0.000 0.674
As 0.000 0.000 0.500
As 0.500 0.500 0.147
As 0.500 0.500 0.853

Calculated values
Formation enthalpy at 0 K   -2.17 eV per formula unit
Magnetization   0.000 μB/cell
Space-group type   No. 123
Calculated volume   182.8 Å³ per cell
Crystal system   tetragonal
Energy   -3.6805 eV/atom

---

[4]
Material: Si2PtCl2
Method: DFT, PBE
State: relaxed

Unit cell a=8.156 b=8.156 c=2.935 alpha=90.00 beta=90.00 gamma=90.00
Sites, in units of the cell vectors:
Si 0.228 0.272 0.000
Si 0.272 0.772 0.000
Si 0.728 0.228 0.000
Si 0.772 0.728 0.000
Pt 0.000 0.000 0.500
Pt 0.500 0.500 0.500
Cl 0.121 0.621 0.500
Cl 0.379 0.121 0.500
Cl 0.621 0.879 0.500
Cl 0.879 0.379 0.500

Calculated values
Magnetization   0.000 μB/cell
Raw formation energy   434 meV/atom
Space-group type   No. 127
Energy relative to the lowest polymorph listed for this composition   0 meV per atom
Calculated volume   195.2 Å³ per cell
Crystal system   tetragonal
Energy   -3.6825 eV/atom

---

[5]
Material: TbSm2Er
Method: DFT, PBE
State: relaxed

Unit cell a=3.601 b=3.601 c=34.760 alpha=90.00 beta=90.00 gamma=120.00
Sites, in units of the cell vectors:
Tb 0.000 0.000 0.000
Tb 0.333 0.667 0.667
Tb 0.667 0.333 0.333
Sm 0.000 0.000 0.250
Sm 0.000 0.000 0.417
Sm 0.333 0.667 0.084
Sm 0.333 0.667 0.916
Sm 0.667 0.333 0.583
Sm 0.667 0.333 0.750
Er 0.000 0.000 0.833
Er 0.333 0.667 0.500
Er 0.667 0.333 0.166

Calculated values
Formation enthalpy at 0 K   0.06 eV per formula unit
Magnetization   0.000 μB/cell
Space-group type   No. 160
Energy relative to the lowest polymorph listed for this composition   0 meV per atom
Calculated volume   390.3 Å³ per cell
Crystal system   trigonal
Energy   -4.6435 eV/atom

---

[6]
Material: Zn2CrReIr
Method: DFT, PBE
State: relaxed

Unit cell a=4.725 b=4.725 c=4.416 alpha=90.00 beta=90.00 gamma=90.00
Sites, in units of the cell vectors:
Zn 0.000 0.500 0.000
Zn 0.500 0.000 0.000
Cr 0.000 0.000 0.500
Re 0.000 0.000 0.000
Ir 0.500 0.500 0.500

Calculated values
Formation enthalpy at 0 K   7.90 eV per formula unit
Magnetization   1.344 μB/cell
Space-group type   No. 123
Calculated volume   98.6 Å³ per cell
Crystal system   tetragonal
Energy   -5.1162 eV/atom